[1]
Density functional theory data (PBE-GGA) for an optimized crystal structure of NaSnSeO5.

DOS(E_F): 2.46 states/eV/f.u.
crystal system: monoclinic
electronic total energy: -5.33 eV per atom

Cell: 7.2530 9.3399 7.4604 Å, 90.00 114.08 90.00°
Last column: nearest neighbours and their distance in Å.
Space group C2/c (No. 15)
Symmetry-distinct sites (fractional):
Na  0.0000  0.1768  0.2500  3 O 2.29-2.55
Sn  0.0000  0.5000  0.0000  6 O 2.00-2.18
Se  0.0000  0.1740  0.7500  4 O 1.78-1.80
O  0.0000  0.4225  0.2500  2 Sn 2.00
O  0.0984  0.2859  0.6127  1 Se 1.80
O  0.1828  0.0533  0.9106  1 Se 1.78


[2]
Density functional theory data (PBE-GGA) for an optimized crystal structure of NaSrSe2O6.

DOS(E_F): 2.97 states/eV/f.u.
crystal system: monoclinic
electronic total energy: -5.40 eV per atom

Cell: 9.0657 10.6455 7.1222 Å, 90.00 104.91 90.00°
Last column: nearest neighbours and their distance in Å.
Space group C2/c (No. 15)
Symmetry-distinct sites (fractional):
Na  0.0000  0.2067  0.2500  6 O 2.48-2.72
Sr  0.0000  0.3975  0.7500  8 O 2.57-2.83
Se  0.1967  0.0873  0.7963  3 O 1.70-1.73
O  0.1082  0.3916  0.1215  1 Se 1.73
O  0.1345  0.2074  0.6378  1 Se 1.70
O  0.1834  0.0496  0.1657  1 Se 1.72


[3]
Density functional theory data (PBE-GGA) for an optimized crystal structure of Na2SrSe2O6.

DOS(E_F): 0.00 states/eV/f.u.
crystal system: monoclinic
electronic total energy: -5.31 eV per atom

Cell: 8.9244 5.7895 7.3140 Å, 90.00 115.99 90.00°
Last column: nearest neighbours and their distance in Å.
Space group C2/m (No. 12)
Symmetry-distinct sites (fractional):
Na  0.1957  0.0000  0.1138  5 O 2.44-2.56
Sr  0.0000  0.0000  0.5000  6 O 2.56-2.72
Se  0.0776  0.5000  0.2460  3 O 1.71-1.74
O  0.0563  0.2647  0.8042  1 Se 1.74
O  0.1962  0.5000  0.5034  1 Se 1.71


[4]
Density functional theory data (PBE-GGA) for an optimized crystal structure of Na3SrSe4O12.

DOS(E_F): 6.14 states/eV/f.u.
crystal system: trigonal
electronic total energy: -4.88 eV per atom

Cell: 11.5870 11.5870 8.5605 Å, 90.00 90.00 120.00°
Last column: nearest neighbours and their distance in Å.
Space group R32 (No. 155, hexagonal axes)
Symmetry-distinct sites (fractional):
Na  0.0000  0.5607  0.0000  6 O 2.38-2.46
Sr  0.0000  0.0000  0.0000  6 O 2.58
Se  0.0000  0.0000  0.5000  3 O 1.66
Se  0.0000  0.4293  0.5000  3 O 1.68-1.80
O  0.0000  0.5740  0.5000  1 Se 1.68
O  0.0000  0.8567  0.5000  1 Se 1.66
O  0.0215  0.1807  0.1934  1 Se 1.80